--- one ---
A relaxed V2HgAs crystal. Source: the Alexandria database, functional GGA-PBE.

Cell: 4.4895 4.4895 4.4895 Å, 60.00 60.00 60.00°
Fractional positions:
V1 0.2500 0.2500 0.2500
V2 0.7500 0.7500 0.7500
Hg1 0.0000 0.0000 0.0000
As1 0.5000 0.5000 0.5000

- Symmetry: No. 225
- Fermi-level density of states: 4.20 states/eV per cell

***

--- two ---
A relaxed V2HgAs crystal. Source: the Alexandria database, functional GGA-PBE.

Cell: 9.7646 9.7646 9.7646 Å, 157.00 157.00 32.75°
Fractional positions:
V1 0.0799 0.6250 0.9549
V2 0.3750 0.3299 0.4549
V3 0.6701 0.1250 0.0451
V4 0.8750 0.9201 0.5451
Hg1 0.2500 0.7500 0.5000
Hg2 0.5000 0.5000 0.0000
As1 0.0000 0.0000 0.0000
As2 0.7500 0.2500 0.5000

- Symmetry: No. 122
- Fermi-level density of states: 9.16 states/eV per cell

***

Least stable = two

***

--- one ---
A relaxed HgAsW2 crystal. Source: the Alexandria database, functional GGA-PBE.

Cell: 4.6494 4.6494 4.6494 Å, 60.00 60.00 60.00°
Fractional positions:
Hg1 0.0000 0.0000 0.0000
As1 0.7500 0.7500 0.7500
W1 0.2500 0.2500 0.2500
W2 0.5000 0.5000 0.5000

- Symmetry: No. 216
- Fermi-level density of states: 3.55 states/eV per cell

***

--- two ---
A relaxed HgAsW2 crystal. Source: the Alexandria database, functional GGA-PBE.

Cell: 4.8557 4.8557 5.1592 Å, 100.99 100.99 38.63°
Fractional positions:
Hg1 0.0000 0.0000 0.0000
As1 0.7707 0.7707 0.3141
W1 0.2437 0.2437 0.7034
W2 0.5252 0.5252 0.5239

- Symmetry: No. 8
- Fermi-level density of states: 2.52 states/eV per cell

***

--- three ---
A relaxed HgAsW2 crystal. Source: the Alexandria database, functional GGA-PBE.

Cell: 3.9353 3.9353 4.6222 Å, 90.00 90.00 90.00°
Fractional positions:
Hg1 0.0000 0.0000 0.0000
As1 0.5000 0.5000 0.0000
W1 0.0000 0.5000 0.5000
W2 0.5000 0.0000 0.5000

- Symmetry: No. 123
- Fermi-level density of states: 4.33 states/eV per cell

***

--- four ---
A relaxed HgAsW2 crystal. Source: the Alexandria database, functional GGA-PBE.

Cell: 4.6271 4.6271 3.1280 Å, 90.00 90.00 90.00°
Fractional positions:
Hg1 0.0000 0.0000 0.0000
As1 0.5000 0.5000 0.0000
W1 0.0000 0.5000 0.5000
W2 0.5000 0.0000 0.5000

- Symmetry: No. 123
- Fermi-level density of states: 3.35 states/eV per cell

***

Least stable = three

***

--- one ---
A relaxed Hg3AsW crystal. Source: the Alexandria database, functional GGA-PBE.

Cell: 5.2752 5.2752 5.2752 Å, 90.00 90.00 90.00°
Fractional positions:
Hg1 0.0000 0.0000 0.5000
Hg2 0.0000 0.5000 0.0000
Hg3 0.5000 0.0000 0.0000
As1 0.0000 0.0000 0.0000
W1 0.5000 0.5000 0.5000

- Symmetry: No. 221
- Fermi-level density of states: 2.29 states/eV per cell

***

--- two ---
A relaxed Hg3AsW crystal. Source: the Alexandria database, functional GGA-PBE.

Cell: 5.2854 5.2854 5.2854 Å, 90.00 90.00 90.00°
Fractional positions:
Hg1 0.0000 0.0000 0.5000
Hg2 0.0000 0.5000 0.0000
Hg3 0.5000 0.0000 0.0000
As1 0.5000 0.5000 0.5000
W1 0.0000 0.0000 0.0000

- Symmetry: No. 221
- Fermi-level density of states: 7.16 states/eV per cell

***

Least stable = one

***

--- one ---
A relaxed Y2HgAs crystal. Source: the Alexandria database, functional GGA-PBE.

Cell: 3.7269 3.7308 6.9780 Å, 90.00 92.94 90.00°
Fractional positions:
Y1 0.0230 0.0000 0.2676
Y2 0.9770 0.0000 0.7324
Hg1 0.5000 0.5000 0.0000
As1 0.5000 0.5000 0.5000

- Symmetry: No. 10
- Fermi-level density of states: 3.26 states/eV per cell

***

--- two ---
A relaxed Y2HgAs crystal. Source: the Alexandria database, functional GGA-PBE.

Cell: 7.9990 7.9990 7.9990 Å, 29.12 29.12 29.12°
Fractional positions:
Y1 0.2391 0.2391 0.2391
Y2 0.7609 0.7609 0.7609
Hg1 0.0000 0.0000 0.0000
As1 0.5000 0.5000 0.5000

- Symmetry: No. 166
- Fermi-level density of states: 3.69 states/eV per cell

***

--- three ---
A relaxed Y2HgAs crystal. Source: the Alexandria database, functional GGA-PBE.

Cell: 5.2236 5.2236 5.2236 Å, 60.00 60.00 60.00°
Fractional positions:
Y1 0.0000 0.0000 0.0000
Y2 0.2500 0.2500 0.2500
Hg1 0.7500 0.7500 0.7500
As1 0.5000 0.5000 0.5000

- Symmetry: No. 216
- Fermi-level density of states: 5.04 states/eV per cell

***

--- four ---
A relaxed Y2HgAs crystal. Source: the Alexandria database, functional GGA-PBE.

Cell: 8.3914 8.3914 8.3914 Å, 28.23 28.23 28.23°
Fractional positions:
Y1 0.0000 0.0000 0.0000
Y2 0.2115 0.2115 0.2115
Hg1 0.7503 0.7503 0.7503
As1 0.4821 0.4821 0.4821

- Symmetry: No. 160
- Fermi-level density of states: 2.18 states/eV per cell

***

Least stable = three

***

--- one ---
A relaxed Y2HgAs crystal. Source: the Alexandria database, functional GGA-PBE.

Cell: 5.3407 5.3407 5.3407 Å, 125.76 125.76 80.29°
Fractional positions:
Y1 0.2500 0.7500 0.5000
Y2 0.7500 0.2500 0.5000
Hg1 0.0000 0.0000 0.0000
As1 0.5000 0.5000 0.0000

- Symmetry: No. 139
- Fermi-level density of states: 3.38 states/eV per cell

***

--- two ---
A relaxed Y2HgAs crystal. Source: the Alexandria database, functional GGA-PBE.

Cell: 4.2275 4.2275 6.0126 Å, 90.00 90.00 90.00°
Fractional positions:
Y1 0.0000 0.0000 0.0000
Y2 0.5000 0.5000 0.5000
Hg1 0.0000 0.0000 0.5000
As1 0.5000 0.5000 0.0000

- Symmetry: No. 123
- Fermi-level density of states: 2.30 states/eV per cell

***

--- three ---
A relaxed Y2HgAs crystal. Source: the Alexandria database, functional GGA-PBE.

Cell: 7.6251 7.6251 7.6251 Å, 151.14 149.10 42.78°
Fractional positions:
Y1 0.0000 0.0000 0.0000
Y2 0.7232 0.2232 0.5000
Hg1 0.4041 0.4041 0.0000
As1 0.1602 0.6602 0.5000

- Symmetry: No. 44
- Fermi-level density of states: 3.17 states/eV per cell

***

--- four ---
A relaxed Y2HgAs crystal. Source: the Alexandria database, functional GGA-PBE.

Cell: 8.0569 8.0569 8.0569 Å, 28.84 28.84 28.84°
Fractional positions:
Y1 0.0000 0.0000 0.0000
Y2 0.1895 0.1895 0.1895
Hg1 0.4270 0.4270 0.4270
As1 0.5955 0.5955 0.5955

- Symmetry: No. 160
- Fermi-level density of states: 3.20 states/eV per cell

***

Least stable = one

***

--- one ---
A relaxed Y2HgAs crystal. Source: the Alexandria database, functional GGA-PBE.

Cell: 6.6095 6.6095 6.6095 Å, 107.65 107.65 113.18°
Fractional positions:
Y1 0.1055 0.1250 0.4805
Y2 0.3750 0.8945 0.0195
Y3 0.6445 0.6250 0.5195
Y4 0.8750 0.3555 0.9805
Hg1 0.2500 0.7500 0.5000
Hg2 0.5000 0.5000 0.0000
As1 0.0000 0.0000 0.0000
As2 0.7500 0.2500 0.5000

- Symmetry: No. 122
- Fermi-level density of states: 5.29 states/eV per cell

***

--- two ---
A relaxed Y2HgAs crystal. Source: the Alexandria database, functional GGA-PBE.

Cell: 4.1841 5.9978 5.9978 Å, 41.74 90.00 90.00°
Fractional positions:
Y1 0.0000 0.0000 0.0000
Y2 0.5000 0.2783 0.2783
Hg1 0.0000 0.7288 0.7288
As1 0.5000 0.5409 0.5409

- Symmetry: No. 38
- Fermi-level density of states: 2.68 states/eV per cell

***

--- three ---
A relaxed Y2HgAs crystal. Source: the Alexandria database, functional GGA-PBE.

Cell: 5.1604 5.1604 5.1604 Å, 60.00 60.00 60.00°
Fractional positions:
Y1 0.2500 0.2500 0.2500
Y2 0.7500 0.7500 0.7500
Hg1 0.0000 0.0000 0.0000
As1 0.5000 0.5000 0.5000

- Symmetry: No. 225
- Fermi-level density of states: 4.76 states/eV per cell

***

Least stable = one

***

--- one ---
A relaxed YHgAs crystal. Source: the Alexandria database, functional GGA-PBE.

Cell: 4.2468 4.2468 4.9858 Å, 90.00 90.00 120.00°
Fractional positions:
Y1 0.0000 0.0000 0.0000
Hg1 0.3333 0.6667 0.5977
As1 0.6667 0.3333 0.2886

- Symmetry: No. 156

***

--- two ---
A relaxed YHgAs crystal. Source: the Alexandria database, functional GGA-PBE.

Cell: 6.8466 6.8466 6.8466 Å, 146.04 146.04 48.79°
Fractional positions:
Y1 0.0000 0.0000 0.0000
Hg1 0.7577 0.7577 0.0000
As1 0.5263 0.5263 0.0000

- Symmetry: No. 107
- Fermi-level density of states: 0.11 states/eV per cell

***

--- three ---
A relaxed YHgAs crystal. Source: the Alexandria database, functional GGA-PBE.

Cell: 6.3321 6.1018 3.6568 Å, 76.38 69.48 34.14°
Fractional positions:
Y1 0.0000 0.0000 0.0000
Hg1 0.6941 0.6941 0.3059
As1 0.3596 0.3596 0.6404

- Symmetry: No. 42
- Fermi-level density of states: 1.03 states/eV per cell

***

Least stable = three

***

--- one ---
A relaxed YHgAs3 crystal. Source: the Alexandria database, functional GGA-PBE.

Cell: 5.1360 5.1360 5.1360 Å, 90.00 90.00 90.00°
Fractional positions:
Y1 0.0000 0.0000 0.0000
Hg1 0.5000 0.5000 0.5000
As1 0.0000 0.5000 0.5000
As2 0.5000 0.0000 0.5000
As3 0.5000 0.5000 0.0000

- Symmetry: No. 221
- Fermi-level density of states: 4.51 states/eV per cell

***

--- two ---
A relaxed YHgAs3 crystal. Source: the Alexandria database, functional GGA-PBE.

Cell: 5.4550 5.4550 5.4550 Å, 90.00 90.00 90.00°
Fractional positions:
Y1 0.0000 0.0000 0.0000
Hg1 0.5000 0.5000 0.5000
As1 0.0000 0.0000 0.5000
As2 0.0000 0.5000 0.0000
As3 0.5000 0.0000 0.0000

- Symmetry: No. 221
- Fermi-level density of states: 4.75 states/eV per cell

***

Least stable = one